(1)
The following is a DFT calculation (PBE) of a relaxed structure of TePt3Pb.

Properties
D(E_F)	0.8	states/eV/cell
energy relative to the elements, uncorrected	0.387	eV/atom
magnetic moment	0.0	μB/f.u.
volume	125.57	Å³ per cell

POSCAR file:
```
TePt3Pb
1.0
5.0076 0.0000 0.0000
0.0000 5.0076 0.0000
0.0000 0.0000 5.0076
Te Pt Pb
1 3 1
direct
0.0000 0.0000 0.0000 Te
0.0000 0.0000 0.5000 Pt
0.0000 0.5000 0.0000 Pt
0.5000 0.0000 0.0000 Pt
0.5000 0.5000 0.5000 Pb
```

(2)
The following is a DFT calculation (PBE) of a relaxed structure of Te2Pt2Pb.

Properties
D(E_F)	4.4	states/eV/cell
energy relative to the elements, uncorrected	0.002	eV/atom
magnetic moment	0.0	μB/f.u.
volume	122.31	Å³ per cell

POSCAR file:
```
Te2Pt2Pb
1.0
-2.3260 2.3260 5.6515
2.3260 -2.3260 5.6515
2.3260 2.3260 -5.6515
Te Pt Pb
2 2 1
direct
0.2500 0.7500 0.5000 Te
0.7500 0.2500 0.5000 Te
0.1184 0.1184 0.0000 Pt
0.8816 0.8816 0.0000 Pt
0.5000 0.5000 0.0000 Pb
```

(3)
The following is a DFT calculation (PBE) of a relaxed structure of TlTe2PtPb.

Properties
D(E_F)	6.5	states/eV/cell
energy relative to the elements, uncorrected	1.156	eV/atom
magnetic moment	0.0	μB/f.u.
volume	184.71	Å³ per cell

POSCAR file:
```
TlTe2PtPb
1.0
5.6552 0.0000 0.0000
0.0000 5.6552 0.0000
0.0000 0.0000 5.7755
Tl Te Pt Pb
1 2 1 1
direct
0.0000 0.0000 0.0000 Tl
0.0000 0.5000 0.0000 Te
0.5000 0.0000 0.0000 Te
0.5000 0.5000 0.5000 Pt
0.0000 0.0000 0.5000 Pb
```

(4)
The following is a DFT calculation (PBE) of a relaxed structure of Tl2TePtPb.

Properties
D(E_F)	1.2	states/eV/cell
energy relative to the elements, uncorrected	-0.169	eV/atom
magnetic moment	0.0	μB/f.u.
volume	156.78	Å³ per cell

POSCAR file:
```
Tl2TePtPb
1.0
5.3299 0.0000 0.0000
0.0000 5.3299 0.0000
0.0000 0.0000 5.5188
Tl Te Pt Pb
2 1 1 1
direct
0.0000 0.5000 0.0000 Tl
0.5000 0.0000 0.0000 Tl
0.0000 0.0000 0.5000 Te
0.5000 0.5000 0.0000 Pt
0.5000 0.5000 0.5000 Pb
```

(5)
The following is a DFT calculation (PBE) of a relaxed structure of Tm6Te3Pt2Pb.

Properties
D(E_F)	6.5	states/eV/cell
energy relative to the elements, uncorrected	-1.106	eV/atom
magnetic moment	0.0	μB/f.u.
volume	329.18	Å³ per cell

POSCAR file:
```
Tm6Te3Pt2Pb
1.0
9.4674 -2.0707 0.0000
9.4674 2.0707 0.0000
-2.5728 0.0000 8.3956
Tm Te Pt Pb
6 3 2 1
direct
0.0125 0.0125 0.2589 Tm
0.3225 0.3225 0.4352 Tm
0.3290 0.3290 0.8780 Tm
0.6710 0.6710 0.1220 Tm
0.6775 0.6775 0.5648 Tm
0.9875 0.9875 0.7411 Tm
0.1611 0.1611 0.8392 Te
0.5000 0.5000 0.5000 Te
0.8389 0.8389 0.1608 Te
0.1686 0.1686 0.3404 Pt
0.8314 0.8314 0.6596 Pt
0.5000 0.5000 0.0000 Pb
```

(6)
The following is a DFT calculation (PBE) of a relaxed structure of ThPt10Pb.

Properties
D(E_F)	9.2	states/eV/cell
magnetic moment	0.0	μB/f.u.
raw total energy	-77.012	eV for the cell shown
volume	226.01	Å³ per cell

POSCAR file:
```
ThPt10Pb
1.0
4.4484 0.0000 0.0000
0.0000 5.4389 0.0000
0.0000 0.0000 9.3415
Th Pt Pb
1 10 1
direct
0.0000 0.0000 0.0000 Th
0.0000 0.0000 0.3330 Pt
0.0000 0.0000 0.6670 Pt
0.0000 0.5000 0.1688 Pt
0.0000 0.5000 0.8312 Pt
0.5000 0.0000 0.5000 Pt
0.5000 0.2449 0.2433 Pt
0.5000 0.2449 0.7567 Pt
0.5000 0.5000 0.0000 Pt
0.5000 0.7551 0.2433 Pt
0.5000 0.7551 0.7567 Pt
0.0000 0.5000 0.5000 Pb
```

(7)
The following is a DFT calculation (PBE) of a relaxed structure of ThPt9Pb2.

Properties
D(E_F)	7.8	states/eV/cell
magnetic moment	0.0	μB/f.u.
raw total energy	-74.924	eV for the cell shown
volume	229.24	Å³ per cell

POSCAR file:
```
ThPt9Pb2
1.0
2.7208 1.5709 8.9393
-2.7208 1.5709 8.9393
0.0000 -3.1417 8.9393
Th Pt Pb
1 9 2
direct
0.0000 0.0000 0.0000 Th
0.0815 0.5844 0.5844 Pt
0.3329 0.3329 0.3329 Pt
0.4156 0.4156 0.9185 Pt
0.4156 0.9185 0.4156 Pt
0.5000 0.5000 0.5000 Pt
0.5844 0.0815 0.5844 Pt
0.5844 0.5844 0.0815 Pt
0.6671 0.6671 0.6671 Pt
0.9185 0.4156 0.4156 Pt
0.1390 0.1390 0.1390 Pb
0.8610 0.8610 0.8610 Pb
```

(8)
The following is a DFT calculation (PBE) of a relaxed structure of Th2Pt9Pb.

Properties
D(E_F)	1.5	states/eV/cell
magnetic moment	0.0	μB/f.u.
raw total energy	-82.218	eV for the cell shown
volume	222.88	Å³ per cell

POSCAR file:
```
Th2Pt9Pb
1.0
4.2069 0.0000 0.0000
0.0000 4.2069 0.0000
0.0000 0.0000 12.5935
Th Pt Pb
2 9 1
direct
0.0000 0.0000 0.1694 Th
0.0000 0.0000 0.8306 Th
0.0000 0.5000 0.0000 Pt
0.0000 0.5000 0.3341 Pt
0.0000 0.5000 0.6659 Pt
0.5000 0.0000 0.0000 Pt
0.5000 0.0000 0.3341 Pt
0.5000 0.0000 0.6659 Pt
0.5000 0.5000 0.1690 Pt
0.5000 0.5000 0.5000 Pt
0.5000 0.5000 0.8310 Pt
0.0000 0.0000 0.5000 Pb
```

(9)
The following is a DFT calculation (PBE) of a relaxed structure of Th7Pt2Pb2.

Properties
D(E_F)	12.5	states/eV/cell
magnetic moment	0.0	μB/f.u.
raw total energy	-74.597	eV for the cell shown
volume	347.31	Å³ per cell

POSCAR file:
```
Th7Pt2Pb2
1.0
4.3852 -5.6838 0.0000
4.3852 5.6838 0.0000
0.0000 0.0000 6.9673
Th Pt Pb
7 2 2
direct
0.0000 0.0000 0.0000 Th
0.0000 0.5000 0.2688 Th
0.0000 0.5000 0.7312 Th
0.5000 0.0000 0.2688 Th
0.5000 0.0000 0.7312 Th
0.5000 0.5000 0.2468 Th
0.5000 0.5000 0.7532 Th
0.2615 0.7385 0.0000 Pt
0.7385 0.2615 0.0000 Pt
0.1728 0.1728 0.5000 Pb
0.8272 0.8272 0.5000 Pb
```

(10)
The following is a DFT calculation (PBE) of a relaxed structure of ThPt4Pb.

Properties
D(E_F)	0.9	states/eV/cell
magnetic moment	0.0	μB/f.u.
raw total energy	-39.853	eV for the cell shown
volume	117.50	Å³ per cell

POSCAR file:
```
ThPt4Pb
1.0
0.0000 3.8874 3.8874
3.8874 0.0000 3.8874
3.8874 3.8874 0.0000
Th Pt Pb
1 4 1
direct
0.0000 0.0000 0.0000 Th
0.1255 0.6248 0.6248 Pt
0.6248 0.1255 0.6248 Pt
0.6248 0.6248 0.1255 Pt
0.6248 0.6248 0.6248 Pt
0.2500 0.2500 0.2500 Pb
```

(11)
The following is a DFT calculation (PBE) of a relaxed structure of ThPt2Pb.

Properties
D(E_F)	2.7	states/eV/cell
magnetic moment	0.0	μB/f.u.
raw total energy	-26.037	eV for the cell shown
volume	94.85	Å³ per cell

POSCAR file:
```
ThPt2Pb
1.0
3.7020 0.0000 0.0000
0.0000 3.7020 0.0000
0.0000 0.0000 6.9208
Th Pt Pb
1 2 1
direct
0.0000 0.0000 0.0000 Th
0.5000 0.5000 0.2174 Pt
0.5000 0.5000 0.7826 Pt
0.0000 0.0000 0.5000 Pb
```

(12)
The following is a DFT calculation (PBE) of a relaxed structure of Th2PtPb.

Properties
D(E_F)	4.9	states/eV/cell
magnetic moment	0.0	μB/f.u.
raw total energy	-27.270	eV for the cell shown
volume	107.21	Å³ per cell

POSCAR file:
```
Th2PtPb
1.0
3.5004 0.0000 0.0000
0.0000 3.5004 0.0000
0.0000 0.0000 8.7502
Th Pt Pb
2 1 1
direct
0.0000 0.0000 0.2161 Th
0.0000 0.0000 0.7839 Th
0.5000 0.5000 0.0000 Pt
0.5000 0.5000 0.5000 Pb
```